The following is a GGA-PBE calculation of an optimized crystal structure of MgTl2O4, from the Alexandria database.

POSCAR file:
```
MgTl2O4
1.0
-3.258 3.322 4.624
3.258 -3.322 4.624
3.258 3.322 -4.624
Mg Tl O
2 4 8
Direct
0.500 0.000 0.000 Mg
0.500 0.500 0.500 Mg
0.000 0.000 0.000 Tl
0.118 0.368 0.750 Tl
0.500 0.000 0.500 Tl
0.882 0.632 0.250 Tl
0.270 0.260 0.490 O
0.270 0.781 0.010 O
0.279 0.245 0.034 O
0.288 0.755 0.534 O
0.712 0.245 0.466 O
0.721 0.755 0.966 O
0.730 0.219 0.990 O
0.730 0.740 0.510 O
```

Computed properties:
formation energy (no corrections) = -1.233 eV/atom
raw total energy = -4.971 eV/atom
offset from the most stable computed form = 0 meV/atom